A relaxed structure of MnSeOF2. Source: the Alexandria database, functional GGA+U.

Cell: 3.9889 3.9889 4.2618 Å, 90.00 90.00 90.00°
With the nearest neighbours (Å) after each atom.
Positions (direct):
O (0.0000, 0.0000, 0.5000)  2 Mn 2.13
Se (0.5000, 0.5000, 0.5000)  4 O 2.82, 8 F 2.92
F (0.0000, 0.5000, 0.0000)  2 Mn 1.99
F (0.5000, 0.0000, 0.0000)  2 Mn 1.99
Mn (0.0000, 0.0000, 0.0000)  4 F 1.99, 2 O 2.13

Output
- SG: No. 123
- DOS(E_F): 2.6 states/eV per cell
- Calculated total energy: -4.958 eV per atom